Entry 1:
The following is a DFT calculation (PBE) of ZnTcBr2 after structural relaxation.

Calculated values
DOS(E_F) in states/eV per cell: 1.76
Uncorrected energy in Ry/atom: -0.2579
Uncorrected formation energy in meV per atom: 238
Volume in A^3/atom: 24.61

a b c (Å): 3.4980 3.4980 9.5484
angles (deg): 90.00 90.00 122.58
Closest atoms and distances in Å follow each position.
Element x y z (fractional)
Zn (0.0000, 0.0000, 0.0000)  2 Br 2.46, 2 Tc 2.66
Tc (0.5000, 0.5000, 0.7838)  2 Br 2.52, 2 Zn 2.66
Br (0.0000, 0.0000, 0.5872)  2 Tc 2.52
Br (0.5000, 0.5000, 0.1880)  2 Zn 2.46

Entry 2:
The following is a DFT calculation (PBE) of ZnTcBr2 after structural relaxation.

Calculated values
DOS(E_F) in states/eV per cell: 2.54
Uncorrected energy in Ry/atom: -0.2834
Uncorrected formation energy in meV per atom: -109
Volume in A^3/atom: 24.11

a b c (Å): 6.2031 3.3611 9.4221
angles (deg): 90.00 100.99 90.00
Closest atoms and distances in Å follow each position.
Element x y z (fractional)
Zn (0.0000, 0.0000, 0.0000)  1 Br 2.35
Zn (0.3367, 0.0000, 0.8671)  1 Zn 2.63, 4 Tc 2.78-2.82
Tc (0.6876, 0.5000, 0.8483)  1 Tc 2.23, 1 Br 2.49
Tc (0.9846, 0.5000, 0.7468)  1 Tc 2.23
Br (0.2646, 0.0000, 0.2146)  1 Zn 2.35
Br (0.4020, 0.5000, 0.6215)  1 Tc 2.50
Br (0.7151, 0.5000, 0.1151)  1 Tc 2.49
Br (0.8889, 0.0000, 0.5447)  2 Tc 2.52